--- i ---
Entry from the Alexandria database: a relaxed structure of Ac4TlPd2 (GGA-PBE).

Cell and atoms, written as POSCAR:
```
Ac4TlPd2
1.0
5.1888 0.0000 0.0000
0.0000 7.8568 0.0000
0.0000 0.0000 11.3383
Pd Ac Tl
4 8 2
Direct
0.5000 0.8978 0.3173
0.5000 0.6022 0.8173
0.5000 0.3978 0.1827
0.5000 0.1022 0.6827
0.5000 0.2584 0.4321
0.0000 0.1173 0.1875
0.0000 0.8827 0.8125
0.5000 0.7584 0.0679
0.0000 0.3827 0.6875
0.5000 0.7416 0.5679
0.5000 0.2416 0.9321
0.0000 0.6173 0.3125
0.0000 0.0000 0.5000
0.0000 0.5000 0.0000
```

Results
Calculated density in g/cm³: 9.52
Crystal system: orthorhombic

---

--- ii ---
Entry from the Alexandria database: a relaxed structure of Ac4TlPd2 (GGA-PBE).

Cell and atoms, written as POSCAR:
```
Ac4TlPd2
1.0
-0.7855 3.9257 3.3755
-4.6560 2.3882 0.2010
-4.9639 -4.6344 8.2966
Ac Tl Pd
4 1 2
Direct
0.7050 0.7050 0.8849
0.2950 0.2950 0.1151
0.8831 0.8831 0.3506
0.1169 0.1169 0.6494
0.5000 0.5000 0.5000
0.3979 0.3979 0.8064
0.6021 0.6021 0.1936
```

Results
Calculated density in g/cm³: 9.01
Crystal system: trigonal

---

The most stable of them is i.

---

--- i ---
Entry from the Alexandria database: a relaxed structure of Ac2TlPd3 (GGA-PBE).

Cell and atoms, written as POSCAR:
```
Ac2TlPd3
1.0
4.1983 0.0000 0.0000
0.0000 7.7239 0.0000
0.0000 0.0000 18.6807
Ac Pd Tl
8 12 4
Direct
0.2500 0.6077 0.7873
0.7500 0.8510 0.0725
0.2500 0.1490 0.9275
0.2500 0.6490 0.5725
0.7500 0.8923 0.2873
0.2500 0.1077 0.7127
0.7500 0.3510 0.4275
0.7500 0.3923 0.2127
0.7500 0.7359 0.4449
0.7500 0.4094 0.6568
0.2500 0.2097 0.3108
0.2500 0.7641 0.9449
0.2500 0.2641 0.5551
0.7500 0.7903 0.6892
0.2500 0.7097 0.1892
0.7500 0.9094 0.8432
0.2500 0.5906 0.3432
0.2500 0.0906 0.1568
0.7500 0.2903 0.8108
0.7500 0.2359 0.0551
0.7500 0.5226 0.9328
0.2500 0.9774 0.4328
0.7500 0.0226 0.5672
0.2500 0.4774 0.0672
```

Results
Calculated density in g/cm³: 10.72
Crystal system: orthorhombic

---

--- ii ---
Entry from the Alexandria database: a relaxed structure of Ac2TlPd3 (GGA-PBE).

Cell and atoms, written as POSCAR:
```
Ac2TlPd3
1.0
6.3408 -0.4132 0.0000
-0.6591 6.3200 0.0000
-2.8408 -2.9534 7.9730
Pd Ac Tl
6 4 2
Direct
0.8404 0.8404 0.6808
0.3366 0.8332 0.1698
0.6634 0.1668 0.8302
0.1596 0.1596 0.3192
0.8332 0.3366 0.1698
0.1668 0.6634 0.8302
0.7500 0.2500 0.5000
0.7612 0.7612 0.0000
0.2388 0.2388 0.0000
0.2500 0.7500 0.5000
0.6677 0.6677 0.3355
0.3323 0.3323 0.6645
```

Results
Calculated density in g/cm³: 10.23
Crystal system: orthorhombic

---

The most stable of them is i.